[1]
Material: Co2AgBiF8
Method: DFT, GGA+U
State: relaxed

Geometry as extended XYZ:
```
12
Lattice="5.2405 -0.0624 -0.0027 -0.0229 5.1837 -0.0006 0.0132 0.0136 6.6681" Properties=species:S:1:pos:R:3 pbc="T T T"
Co 2.6187 2.5706 4.9492
Co 2.6122 2.5643 1.7156
Ag 0.0066 0.0068 3.3340
Bi 0.0000 0.0000 0.0000
F 1.1588 3.9758 1.5365
F 3.5584 3.5302 6.6653
F 4.0649 1.1512 1.5352
F 4.0721 1.1591 5.1283
F 1.6725 1.6047 -0.0006
F 1.1660 3.9837 5.1295
F 3.5044 3.4750 3.3300
F 1.7265 1.6599 3.3348
```

Energy   -55.9 eV/f.u.
Space-group type   P-1
Volume   181.13 Å³ per cell
Crystal system   triclinic
M_tot   5.95 μB per cell

=====

[2]
Material: CoAg2BiF6
Method: DFT, GGA+U
State: relaxed

Geometry as extended XYZ:
```
10
Lattice="-5.7873 -3.3940 -1.2377 7.0054 -1.8092 0.2306 2.0833 2.3915 5.1267" Properties=species:S:1:pos:R:3 pbc="T T T"
Co -1.2798 -3.1344 1.3435
Ag 2.7074 -2.8389 0.9433
Ag 0.5206 -0.0357 2.9816
Bi 3.2645 -2.8433 4.0221
F 5.1413 -1.3648 3.6994
F -1.9141 -1.5100 0.2254
F -0.6551 -3.9739 -0.3989
F 2.8446 -0.9295 2.5147
F 0.3828 -1.9449 1.4095
F 3.8825 1.0988 4.3233
```

Energy   -42.3 eV/f.u.
Space-group type   P-1
Volume   151.73 Å³ per cell
Crystal system   triclinic
M_tot   2.93 μB per cell